# Lu3BeN

Crystalline Lu3BeN at its relaxed geometry (PBE-GGA, the Alexandria database).

Unit cell a=4.596 b=4.596 c=4.596 alpha=90.00 beta=90.00 gamma=90.00
Atoms (fractional coordinates):
Lu: 0.000 0.000 0.500
Lu: 0.000 0.500 0.000
Lu: 0.500 0.000 0.000
Be: 0.500 0.500 0.500
N: 0.000 0.000 0.000

## Properties
space group	Pm-3m
uncorrected formation energy	-634	meV per atom
size of the total moment	0.0	μB per formula unit
total DFT energy (no corrections)	-5.757	eV/atom